1.
A plane-wave DFT calculation with SCAN was carried out for a PBEsol-optimized structure of LiZnPt.

Properties
* N(E_F): 0.20 states/eV/atom
* E_tot: -29.256 eV/atom

Unit cell a=3.0225 b=3.0225 c=8.5581 alpha=90.00 beta=90.00 gamma=90.00
Last column: nearest neighbours and their distance in Å.
Space group I4mm (No. 107)
Unique sites:
Li  0.0000  0.0000  0.0000 (multiplicity 2)  4 Pt 2.54, 4 Zn 2.56
Zn  0.0000  0.0000  0.3347 (multiplicity 2)  5 Li 2.56-2.86, 5 Pt 2.60-2.80
Pt  0.0000  0.0000  0.6614 (multiplicity 2)  4 Li 2.54, 5 Zn 2.60-2.80


2.
A plane-wave DFT calculation with SCAN was carried out for a PBEsol-optimized structure of LiZnPt.

Properties
* N(E_F): 0.23 states/eV/atom
* E_tot: -29.322 eV/atom

Unit cell a=4.1041 b=4.1041 c=2.7107 alpha=90.00 beta=90.00 gamma=120.00
Last column: nearest neighbours and their distance in Å.
Space group P3m1 (No. 156)
Unique sites:
Li  0.0000  0.0000  0.0000 (multiplicity 1)  3 Zn 2.42, 3 Pt 2.59, 2 Li 2.71
Zn  0.6667  0.3333  0.8163 (multiplicity 1)  3 Li 2.42, 3 Pt 2.64, 2 Zn 2.71
Pt  0.3333  0.6667  0.3858 (multiplicity 1)  6 Li 2.59-2.90, 6 Zn 2.64-2.83, 2 Pt 2.71


3.
A plane-wave DFT calculation with SCAN was carried out for a PBEsol-optimized structure of LiZnPt4.

Properties
* N(E_F): 0.61 states/eV/atom
* E_tot: -49.731 eV/atom

Unit cell a=7.3342 b=7.3342 c=7.3342 alpha=90.00 beta=90.00 gamma=90.00
Last column: nearest neighbours and their distance in Å.
Space group F-43m (No. 216)
Unique sites:
Li  0.0000  0.0000  0.0000 (multiplicity 4)  12 Pt 3.04, 4 Zn 3.18
Zn  0.2500  0.2500  0.2500 (multiplicity 4)  12 Pt 3.04, 4 Li 3.18
Pt  0.1250  0.1250  0.6250 (multiplicity 16)  6 Pt 2.59


Q: Which value of E_tot does entry 3 give?
A: -49.731 eV/atom